Material: RbMoPO6
Method: DFT, GGA+U
State: relaxed

Cell lengths 10.2347, 9.7867, 8.4891 Å; angles 67.68, 62.20, 50.11 degrees
Fractional positions:
O 0.7305 0.6529 0.1615
O 0.4340 0.7266 0.3943
O 0.5971 0.5195 0.7949
O 0.1760 0.6772 0.2112
O 0.2112 0.9356 0.1760
O 0.6529 0.7305 0.4551
O 0.0740 0.5728 0.0388
O 0.4551 0.1615 0.6529
O 0.6772 0.1760 0.9356
O 0.8048 0.8557 0.5234
O 0.5195 0.5971 0.0885
O 0.0885 0.7949 0.5195
O 0.8160 0.5234 0.8557
O 0.1615 0.4551 0.7305
O 0.7266 0.4340 0.4452
O 0.8557 0.8048 0.8160
O 0.0388 0.3144 0.0740
O 0.5728 0.0740 0.3144
O 0.7949 0.0885 0.5971
O 0.3144 0.0388 0.5728
O 0.9356 0.2112 0.6772
O 0.3943 0.4452 0.4340
O 0.5234 0.8160 0.8048
O 0.4452 0.3943 0.7266
Mo 0.7193 0.2807 0.7193
Mo 0.9693 0.5307 0.9693
Mo 0.2807 0.7193 0.2807
Mo 0.5307 0.9693 0.5307
P 0.8822 0.8822 0.6178
P 0.6322 0.6322 0.3678
P 0.6178 0.6178 0.8822
P 0.3678 0.3678 0.6322
Rb 0.2034 0.7966 0.7966
Rb 0.4534 0.0466 0.0466
Rb 0.0466 0.4534 0.4534
Rb 0.7966 0.2034 0.2034

Calculated values
Spin magnetization, μB/cell: 0.00
VASP energy, eV for the cell shown: -244.12
Space-group type: Fddd